## MnCuGe2Se6 (PBE)

Data for a relaxed structure of MnCuGe2Se6.

Cell: 8.6082 8.6082 6.5476 Å, 100.17 100.17 84.66°
Closest atoms and distances in Å follow each position.
Atoms (fractional coordinates):
Mn 0.1063 0.8937 0.7500  6 Se 2.53-2.73
Mn 0.8937 0.1063 0.2500  6 Se 2.53-2.73
Cu 0.2450 0.7550 0.2500  4 Se 2.47-2.62
Cu 0.7550 0.2450 0.7500  4 Se 2.47-2.62
Ge 0.2224 0.3948 0.7083  4 Se 2.42-2.51
Ge 0.3948 0.2224 0.2083  4 Se 2.42-2.51
Ge 0.6052 0.7776 0.7917  4 Se 2.42-2.51
Ge 0.7776 0.6052 0.2917  4 Se 2.42-2.51
Se 0.0301 0.1817 0.6246  1 Ge 2.51, 2 Mn 2.53-2.73, 1 Cu 2.62
Se 0.1130 0.6363 0.8986  1 Ge 2.43, 1 Cu 2.47, 1 Mn 2.56
Se 0.1817 0.0301 0.1246  1 Ge 2.51, 2 Mn 2.53-2.73, 1 Cu 2.62
Se 0.2867 0.4662 0.3933  2 Ge 2.42
Se 0.3637 0.8870 0.6014  1 Ge 2.43, 1 Cu 2.47, 1 Mn 2.56
Se 0.4662 0.2867 0.8933  2 Ge 2.42
Se 0.5338 0.7133 0.1067  2 Ge 2.42
Se 0.6363 0.1130 0.3986  1 Ge 2.43, 1 Cu 2.47, 1 Mn 2.56
Se 0.7133 0.5338 0.6067  2 Ge 2.42
Se 0.8183 0.9699 0.8754  1 Ge 2.51, 2 Mn 2.53-2.73, 1 Cu 2.62
Se 0.8870 0.3637 0.1014  1 Ge 2.43, 1 Cu 2.47, 1 Mn 2.56
Se 0.9699 0.8183 0.3754  1 Ge 2.51, 2 Mn 2.53-2.73, 1 Cu 2.62

Properties
V: 23.5 A^3/atom
crystal system: monoclinic
space-group type: C2/c
ΔE_f (raw): -204 meV/atom